Record 1
Below is NaCdPt3 at its PBEsol-relaxed geometry, with properties calculated at the SCAN level.

Values from the calculation:
The calculation puts the uncorrected energy at -47.78 eV per atom. The calculation puts the formation energy from the elements at 1.26 eV/atom.

```
data_NaCdPt3
_chemical_formula_sum 'Na1 Cd1 Pt3'
_space_group_name_H-M_alt 'P m -3 m'
_space_group_IT_number 221
_space_group_name_Hall '-P 4 2 3'
_cell_length_a 4.550
_cell_length_b 4.550
_cell_length_c 4.550
_cell_angle_alpha 90.00
_cell_angle_beta 90.00
_cell_angle_gamma 90.00
loop_
_atom_site_label
_atom_site_fract_x
_atom_site_fract_y
_atom_site_fract_z
_atom_site_occupancy
Na1 0.000 0.000 0.000 1
Cd1 0.500 0.500 0.500 1
Pt1 0.000 0.000 0.500 1
```

=====

Record 2
Below is Ru3WF at its PBEsol-relaxed geometry, with properties calculated at the SCAN level.

Values from the calculation:
The calculation puts the uncorrected energy at -34.49 eV per atom. The formation energy from raw total energies comes out at 1.049 eV/atom.

```
data_Ru3WF
_chemical_formula_sum 'Ru3 W1 F1'
_space_group_name_H-M_alt 'P m -3 m'
_space_group_IT_number 221
_space_group_name_Hall '-P 4 2 3'
_cell_length_a 4.079
_cell_length_b 4.079
_cell_length_c 4.079
_cell_angle_alpha 90.00
_cell_angle_beta 90.00
_cell_angle_gamma 90.00
loop_
_atom_site_label
_atom_site_fract_x
_atom_site_fract_y
_atom_site_fract_z
_atom_site_occupancy
Ru1 0.000 0.000 0.500 1
W1 0.500 0.500 0.500 1
F1 0.000 0.000 0.000 1
```

=====

Record 3
Below is SiAgAs2 at its PBEsol-relaxed geometry, with properties calculated at the SCAN level.

Values from the calculation:
The calculation puts the uncorrected energy at -20.09 eV per atom. The formation energy from raw total energies comes out at 0.351 eV/atom.

```
data_SiAgAs2
_chemical_formula_sum 'Si2 Ag2 As4'
_space_group_name_H-M_alt 'I m m 2'
_space_group_IT_number 44
_cell_length_a 3.374
_cell_length_b 3.633
_cell_length_c 12.023
_cell_angle_alpha 90.00
_cell_angle_beta 90.00
_cell_angle_gamma 90.00
loop_
_space_group_symop_operation_xyz
'x,y,z'
'-x,-y,z'
'-x,y,z'
'x,-y,z'
'x+1/2,y+1/2,z+1/2'
'-x+1/2,-y+1/2,z+1/2'
'-x+1/2,y+1/2,z+1/2'
'x+1/2,-y+1/2,z+1/2'
loop_
_atom_site_label
_atom_site_fract_x
_atom_site_fract_y
_atom_site_fract_z
_atom_site_occupancy
Si1 0.000 0.000 0.000 1
Ag1 0.000 0.500 0.257 1
As1 0.000 0.000 0.431 1
As2 0.000 0.500 0.657 1
```

=====

Record 4
Below is HfBe2Mo2 at its PBEsol-relaxed geometry, with properties calculated at the SCAN level.

Values from the calculation:
The calculation puts the uncorrected energy at -28.40 eV per atom. The calculation puts the formation energy from the elements at -0.17 eV/atom.

```
data_HfBe2Mo2
_chemical_formula_sum 'Hf2 Be4 Mo4'
_space_group_name_H-M_alt 'P 4/m b m'
_space_group_IT_number 127
_space_group_name_Hall '-P 4 2ab'
_cell_length_a 6.385
_cell_length_b 6.385
_cell_length_c 3.242
_cell_angle_alpha 90.00
_cell_angle_beta 90.00
_cell_angle_gamma 90.00
loop_
_atom_site_label
_atom_site_fract_x
_atom_site_fract_y
_atom_site_fract_z
_atom_site_occupancy
Hf1 0.000 0.000 0.000 1
Be1 0.113 0.387 0.000 1
Mo1 0.176 0.676 0.500 1
```